Co2As2O7 after structural relaxation, computed with PBE+U.

a = 6.1435 Å, b = 8.8143 Å, c = 7.5551 Å
α = 90.00°, β = 111.77°, γ = 90.00°
Last column: nearest neighbours and their distance in Å.
Space group C2/m (No. 12)
Unique sites:
Co: 0.0000 0.1899 0.0000  6 O 2.04-2.24
As: 0.1580 0.5000 0.7460  4 O 1.70-1.75
O: 0.0000 0.5000 0.5000  2 As 1.75
O: 0.0420 0.0000 0.1922  1 As 1.72
O: 0.1125 0.3320 0.8384  1 As 1.70

Results
The energy above the most stable polymorph in this dataset comes out at 109.6 meV/atom.